1.
{"formula": "BaHfTc", "functional": "PBE", "state": "optimized geometry", "energy_ev_per_fu": -16.3, "mass_density_g_cm3": 8.9, "sg": "F-43m", "total_magnetization_mub_per_fu": 0.83, "cell": [[0.000, 3.375, 3.375], [3.375, 0.000, 3.375], [3.375, 3.375, 0.000]], "species": ["Ba", "Hf", "Tc"], "frac_coords": [[0.000, 0.000, 0.000], [0.250, 0.250, 0.250], [0.750, 0.750, 0.750]]}

2.
{"formula": "Ba2HfTe", "functional": "PBE", "state": "optimized geometry", "energy_ev_per_fu": -15.9, "mass_density_g_cm3": 7.1, "sg": "F-43m", "total_magnetization_mub_per_fu": 2.17, "cell": [[0.000, 4.088, 4.088], [4.088, 0.000, 4.088], [4.088, 4.088, 0.000]], "species": ["Ba", "Ba", "Hf", "Te"], "frac_coords": [[0.000, 0.000, 0.000], [0.250, 0.250, 0.250], [0.500, 0.500, 0.500], [0.750, 0.750, 0.750]]}

3.
{"formula": "BaHfTe2", "functional": "PBE", "state": "optimized geometry", "energy_ev_per_fu": -17.7, "mass_density_g_cm3": 7.8, "sg": "F-43m", "total_magnetization_mub_per_fu": 1.74, "cell": [[0.000, 3.928, 3.928], [3.928, 0.000, 3.928], [3.928, 3.928, 0.000]], "species": ["Ba", "Hf", "Te", "Te"], "frac_coords": [[0.500, 0.500, 0.500], [0.250, 0.250, 0.250], [0.000, 0.000, 0.000], [0.750, 0.750, 0.750]]}

4.
{"formula": "BaHfTh", "functional": "PBE", "state": "optimized geometry", "energy_ev_per_fu": -15.4, "mass_density_g_cm3": 7.8, "sg": "F-43m", "total_magnetization_mub_per_fu": 1.97, "cell": [[5.344, -0.162, 1.224], [1.795, -3.274, 4.018], [2.957, -4.458, -1.210]], "species": ["Ba", "Hf", "Th"], "frac_coords": [[0.000, 0.000, 0.000], [0.500, 0.500, 0.500], [0.750, 0.750, 0.750]]}

5.
{"formula": "BaHfTl", "functional": "PBE", "state": "optimized geometry", "energy_ev_per_fu": -12.2, "mass_density_g_cm3": 7.9, "sg": "F-43m", "total_magnetization_mub_per_fu": 1.25, "cell": [[3.327, -2.394, -3.449], [3.547, -3.606, 1.764], [-0.641, -5.186, -1.178]], "species": ["Ba", "Hf", "Tl"], "frac_coords": [[0.250, 0.250, 0.250], [0.750, 0.750, 0.750], [0.000, 0.000, 0.000]]}

6.
{"formula": "Ba2HfTl", "functional": "PBE", "state": "optimized geometry", "energy_ev_per_fu": -14.2, "mass_density_g_cm3": 8.1, "sg": "F-43m", "total_magnetization_mub_per_fu": 2.83, "cell": [[-4.396, 2.663, 2.600], [-4.588, 1.649, -3.066], [-5.033, -2.722, 0.658]], "species": ["Ba", "Ba", "Hf", "Tl"], "frac_coords": [[0.000, 0.000, 0.000], [0.750, 0.750, 0.750], [0.250, 0.250, 0.250], [0.500, 0.500, 0.500]]}

Question: Which formula does entry 4 have?
Answer: BaHfTh